Computed, not measured: TaNb2Si2 after structural relaxation at the GGA-PBEsol level of DFT.

abc: 6.6949 6.6949 3.4765
angles: 90.00 90.00 90.00
Space group P4/mbm (No. 127)
Asymmetric unit:
Ta 0.0000 0.0000 0.0000
Nb 0.1714 0.3286 0.5000
Si 0.1280 0.6280 0.0000

## Properties
Raw total energy: -9.83 eV per atom
DOS(E_F): 6.0 states/eV/cell
ΔE_f (raw): -0.694 eV/atom
V: 77.9 Å³/f.u.

=====

Computed, not measured: Zr2TaNbSi after structural relaxation at the GGA-PBEsol level of DFT.

abc: 4.9032 4.9032 4.6931
angles: 90.00 90.00 90.00
Space group P4/mmm (No. 123)
Asymmetric unit:
Zr 0.0000 0.5000 0.0000
Ta 0.0000 0.0000 0.5000
Nb 0.5000 0.5000 0.0000
Si 0.5000 0.5000 0.5000

## Properties
Raw total energy: -8.27 eV per atom
DOS(E_F): 5.2 states/eV/cell
ΔE_f (raw): 1.189 eV/atom
V: 112.8 Å³/f.u.

=====

Computed, not measured: Nb2SiTe4 after structural relaxation at the GGA-PBEsol level of DFT.

abc: 15.0792 3.6173 6.6328
angles: 90.00 110.06 90.00
Space group C2/m (No. 12)
Asymmetric unit:
Nb 0.2404 0.0000 0.1703
Si 0.0000 0.5000 0.5000
Te 0.1030 0.5000 0.9505
Te 0.1467 0.0000 0.4953

## Properties
Raw total energy: -6.20 eV per atom
DOS(E_F): 5.9 states/eV/cell
ΔE_f (raw): -0.273 eV/atom
V: 169.9 Å³/f.u.

=====

Computed, not measured: Nb3SiTe6 after structural relaxation at the GGA-PBEsol level of DFT.

abc: 6.3257 13.8822 11.4494
angles: 90.00 90.00 90.00
Space group Pnma (No. 62)
Asymmetric unit:
Nb 0.0320 0.2500 0.1884
Nb 0.1694 0.7500 0.3346
Nb 0.1959 0.7500 0.0350
Si 0.0750 0.7500 0.5743
Te 0.1447 0.1193 0.9976
Te 0.1495 0.1124 0.6832
Te 0.2036 0.1160 0.3458

## Properties
Raw total energy: -6.45 eV per atom
DOS(E_F): 19.2 states/eV/cell
ΔE_f (raw): -0.512 eV/atom
V: 251.4 Å³/f.u.

=====

Computed, not measured: Nb2SiTe4 after structural relaxation at the GGA-PBEsol level of DFT.

abc: 6.3194 7.8709 14.7786
angles: 90.00 106.92 90.00
Space group P2_1/c (No. 14)
Asymmetric unit:
Nb 0.1452 0.2116 0.2498
Nb 0.3545 0.5376 0.2503
Si 0.2501 0.6254 0.7497
Te 0.0624 0.5169 0.8827
Te 0.1184 0.0179 0.8831
Te 0.3816 0.2327 0.6171
Te 0.4384 0.7347 0.6171

## Properties
Raw total energy: -6.45 eV per atom
DOS(E_F): 1.0 states/eV/cell
ΔE_f (raw): -0.523 eV/atom
V: 175.8 Å³/f.u.

=====

Computed, not measured: TiNbSi2 after structural relaxation at the GGA-PBEsol level of DFT.

abc: 6.2121 6.2121 6.2121
angles: 90.00 90.00 90.00
Space group Fm-3m (No. 225)
Asymmetric unit:
Ti 0.0000 0.0000 0.0000
Nb 0.0000 0.0000 0.5000
Si 0.2500 0.2500 0.2500

## Properties
Raw total energy: -7.96 eV per atom
DOS(E_F): 17.1 states/eV/cell
ΔE_f (raw): -0.303 eV/atom
V: 59.9 Å³/f.u.

=====

Computed, not measured: Nb2Si2W after structural relaxation at the GGA-PBEsol level of DFT.

abc: 6.5705 6.5705 3.5023
angles: 90.00 90.00 90.00
Space group P4/mbm (No. 127)
Asymmetric unit:
Nb 0.1697 0.3303 0.0000
Si 0.1304 0.6304 0.5000
W 0.0000 0.0000 0.5000

## Properties
Raw total energy: -9.93 eV per atom
DOS(E_F): 5.4 states/eV/cell
ΔE_f (raw): -0.542 eV/atom
V: 75.6 Å³/f.u.

=====

Computed, not measured: Nb3SiW after structural relaxation at the GGA-PBEsol level of DFT.

abc: 4.7910 4.7910 4.7910
angles: 90.00 90.00 90.00
Space group Pm-3m (No. 221)
Asymmetric unit:
Nb 0.0000 0.0000 0.5000
Si 0.5000 0.5000 0.5000
W 0.0000 0.0000 0.0000

## Properties
Raw total energy: -8.90 eV per atom
DOS(E_F): 2.8 states/eV/cell
ΔE_f (raw): 1.504 eV/atom
V: 110.0 Å³/f.u.